1.
Computed, not measured: a relaxed NdThSn crystal at the PBE level of DFT.

Lattice parameters (Å, degrees): 4.999 4.999 7.786 90.00 90.00 90.00
Sites, in units of the cell vectors:
Nd: 0.250 0.250 0.228
Nd: 0.750 0.750 0.772
Th: 0.250 0.250 0.778
Th: 0.750 0.750 0.222
Sn: 0.250 0.750 0.500
Sn: 0.750 0.250 0.500

Properties
Excess energy over the best structure of this formula in the dataset = 147 meV/atom
E_tot = -32.81 eV per cell
Space group = P4/nmm



2.
Computed, not measured: a relaxed BeNbBiW crystal at the PBE level of DFT.

Lattice parameters (Å, degrees): 4.602 4.602 4.602 60.00 60.00 60.00
Sites, in units of the cell vectors:
Be: 0.000 0.000 0.000
Nb: 0.250 0.250 0.250
Bi: 0.500 0.500 0.500
W: 0.750 0.750 0.750

Properties
Excess energy over the best structure of this formula in the dataset = 78 meV/atom
E_tot = -27.53 eV per cell
Space group = F-43m



3.
Computed, not measured: a relaxed DyHoInNi2 crystal at the PBE level of DFT.

Lattice parameters (Å, degrees): 3.630 7.367 7.367 30.67 90.00 90.00
Sites, in units of the cell vectors:
Dy: 0.000 0.000 0.000
Ho: 0.000 0.723 0.723
In: 0.500 0.361 0.361
Ni: 0.500 0.163 0.163
Ni: 0.500 0.560 0.560

Properties
E_tot = -25.77 eV per cell
Space group = Amm2



Question: E_tot of number 1 (NdThSn)?
Answer: -32.81 eV per cell